## BaSn2Hg2 (PBE)

Data for a geometry-optimized BaSn2Hg2 structure.

Cell lengths 4.9234, 4.9234, 12.5417 Å; angles 90.00, 90.00, 90.00 degrees
With the nearest neighbours (Å) after each atom.
Space group I4/mmm (No. 139)
Unique sites:
Ba  0.0000  0.0000  0.0000  8 Hg 3.75, 8 Sn 3.99
Sn  0.0000  0.5000  0.2500  4 Hg 3.01
Hg  0.0000  0.0000  0.3881  1 Hg 2.81, 4 Sn 3.01

Results
- theoretical density (g/cm3) = 8.48

---

## BaSn2Hg (PBE)

Data for a geometry-optimized BaSn2Hg structure.

Cell lengths 5.3331, 7.3585, 12.8391 Å; angles 90.00, 90.00, 90.00 degrees
With the nearest neighbours (Å) after each atom.
Space group Amm2 (No. 38)
Unique sites:
Ba  0.0000  0.0000  0.0000  8 Sn 3.66-3.68, 4 Hg 3.69-3.72
Ba  0.5000  0.0000  0.3319  4 Hg 3.48, 8 Sn 3.55-3.75
Sn  0.0000  0.0000  0.5148  4 Sn 3.25, 2 Hg 3.44, 2 Ba 3.55
Sn  0.5000  0.0000  0.8051  2 Sn 3.04, 4 Hg 3.27
Sn  0.5000  0.2051  0.5993  4 Sn 3.02-3.25, 2 Hg 3.28
Hg  0.0000  0.2358  0.7466  5 Sn 3.27-3.44, 1 Hg 3.47, 2 Ba 3.48

Results
- theoretical density (g/cm3) = 7.58

---

## BaSn2Hg2 (PBE)

Data for a geometry-optimized BaSn2Hg2 structure.

Cell lengths 5.0942, 5.0942, 11.7238 Å; angles 90.00, 90.00, 90.00 degrees
With the nearest neighbours (Å) after each atom.
Space group I4/mmm (No. 139)
Unique sites:
Ba  0.0000  0.0000  0.0000  8 Sn 3.87, 8 Hg 3.88
Sn  0.0000  0.0000  0.3784  1 Sn 2.85, 4 Hg 2.96
Hg  0.0000  0.5000  0.2500  4 Sn 2.96

Results
- theoretical density (g/cm3) = 8.47

---

## BaSn2Hg (PBE)

Data for a geometry-optimized BaSn2Hg structure.

Cell lengths 7.9319, 7.9319, 7.9319 Å; angles 90.00, 90.00, 90.00 degrees
With the nearest neighbours (Å) after each atom.
Space group F-43m (No. 216)
Unique sites:
Ba  0.0000  0.0000  0.0000  4 Hg 3.43, 4 Sn 3.43
Sn  0.0000  0.0000  0.5000  4 Hg 3.43, 4 Sn 3.43
Sn  0.2500  0.2500  0.2500  4 Sn 3.43, 4 Ba 3.43
Hg  0.2500  0.2500  0.7500  4 Ba 3.43, 4 Sn 3.43

Results
- theoretical density (g/cm3) = 7.66

---

## BaSn2Hg (PBE)

Data for a geometry-optimized BaSn2Hg structure.

Cell lengths 5.2738, 12.7406, 7.5207 Å; angles 90.00, 90.00, 90.00 degrees
With the nearest neighbours (Å) after each atom.
Space group Ama2 (No. 40)
Unique sites:
Ba  0.2500  0.1652  0.0000  4 Hg 3.47-3.74, 8 Sn 3.65-3.80
Sn  0.2500  0.1370  0.5025  3 Sn 3.09-3.17, 3 Hg 3.26-3.27
Sn  0.2500  0.4269  0.7965  5 Sn 3.09-3.23, 1 Hg 3.33
Hg  0.2500  0.4225  0.2391  4 Sn 3.26-3.33, 2 Hg 3.29, 2 Ba 3.47

Results
- theoretical density (g/cm3) = 7.56

---

## BaSnHg2 (PBE)

Data for a geometry-optimized BaSnHg2 structure.

Cell lengths 5.2237, 12.9010, 7.4738 Å; angles 90.00, 90.00, 90.00 degrees
With the nearest neighbours (Å) after each atom.
Space group Ama2 (No. 40)
Unique sites:
Ba  0.2500  0.1695  0.0000  8 Hg 3.50-3.79, 4 Sn 3.59-3.78
Sn  0.2500  0.4331  0.7787  2 Sn 3.13, 4 Hg 3.25-3.29
Hg  0.2500  0.1500  0.5006  3 Hg 3.23-3.33, 3 Sn 3.25-3.27, 2 Ba 3.50
Hg  0.2500  0.4249  0.2188  5 Hg 3.23-3.33, 1 Sn 3.29, 2 Ba 3.57

Results
- theoretical density (g/cm3) = 8.67

---

VASP energy list, top to bottom, in eV for the cell shown: -24.93, -48.08, -24.93, -46.23, -47.95, -32.91